No. 1
First-principles (PBE-GGA) data for a relaxed structure of Zr3AlGa2PdPt2, as listed in OQMD via LeMat-Bulk.

calculated total energy = -6.7840 eV/atom
crystal system = orthorhombic

abc: 3.577 12.542 7.186
angles: 90.00 90.00 90.00
Space group Amm2 (No. 38)
Inequivalent atoms, fractional coordinates:
Zr  0.000  0.000  0.000 (multiplicity 2)
Zr  0.000  0.201  0.598 (multiplicity 4)
Al  0.500  0.000  0.658 (multiplicity 2)
Ga  0.500  0.132  0.268 (multiplicity 4)
Pd  0.000  0.000  0.401 (multiplicity 2)
Pt  0.500  0.164  0.894 (multiplicity 4)

No. 2
First-principles (PBE-GGA) data for a relaxed structure of Sc2AlGa3Pd2, as listed in OQMD via LeMat-Bulk.

calculated total energy = -5.2412 eV/atom
crystal system = monoclinic

abc: 9.850 4.249 6.584
angles: 90.00 90.30 90.00
Space group Cm (No. 8)
Inequivalent atoms, fractional coordinates:
Sc  0.000  0.000  0.000 (multiplicity 2)
Sc  0.160  0.000  0.504 (multiplicity 2)
Al  0.444  0.000  0.306 (multiplicity 2)
Ga  0.206  0.500  0.205 (multiplicity 2)
Ga  0.209  0.500  0.803 (multiplicity 2)
Ga  0.452  0.000  0.705 (multiplicity 2)
Pd  0.286  0.000  0.003 (multiplicity 2)
Pd  0.377  0.500  0.503 (multiplicity 2)

No. 3
First-principles (PBE-GGA) data for a relaxed structure of SmAl2GaPd2, as listed in OQMD via LeMat-Bulk.

calculated total energy = -5.0948 eV/atom
crystal system = orthorhombic

abc: 5.398 9.440 4.254
angles: 90.00 90.00 90.00
Space group Cmmm (No. 65)
Inequivalent atoms, fractional coordinates:
Sm  0.000  0.000  0.000 (multiplicity 2)
Al  0.250  0.250  0.500 (multiplicity 4)
Ga  0.000  0.500  0.500 (multiplicity 2)
Pd  0.000  0.329  0.000 (multiplicity 4)